{
  "formula": "Ac3Pm2Y8",
  "functional": "PBE-GGA",
  "state": "optimized geometry",
  "lattice_angstrom": [[3.622, 0.000, 0.000], [0.000, 11.885, 0.000], [0.000, 0.000, 21.761]],
  "species": ["Y", "Y", "Y", "Y", "Y", "Y", "Y", "Y", "Y", "Y", "Y", "Y", "Y", "Y", "Y", "Y", "Ac", "Ac", "Ac", "Ac", "Ac", "Ac", "Pm", "Pm", "Pm", "Pm"],
  "frac_coords": [[0.000, 0.706, 0.948], [0.500, 0.637, 0.795], [0.500, 0.544, 0.069], [0.000, 0.950, 0.841], [0.000, 0.794, 0.448], [0.500, 0.044, 0.431], [0.000, 0.450, 0.659], [0.500, 0.863, 0.295], [0.000, 0.294, 0.052], [0.000, 0.206, 0.552], [0.500, 0.137, 0.705], [0.500, 0.956, 0.569], [0.500, 0.456, 0.931], [0.000, 0.550, 0.341], [0.500, 0.363, 0.205], [0.000, 0.050, 0.159], [0.000, 0.355, 0.800], [0.000, 0.645, 0.200], [0.000, 0.500, 0.500], [0.000, 0.000, 0.000], [0.000, 0.855, 0.700], [0.000, 0.145, 0.300], [0.500, 0.681, 0.596], [0.500, 0.819, 0.096], [0.500, 0.181, 0.904], [0.500, 0.319, 0.404]],
  "density_g_cm3": 5.96,
  "e_above_lowest_polymorph_ev_per_fu": 0.00,
  "formation_enthalpy_0k_ev_per_atom": 0.192,
  "spacegroup": "Pbam, No. 55",
  "total_magnetization_mub_per_cell": 0.0,
  "energy_ev_per_cell": -142.1
}

---

{
  "formula": "Tl3Ni",
  "functional": "PBE-GGA",
  "state": "optimized geometry",
  "lattice_angstrom": [[-0.312, -2.953, -1.796], [8.578, 1.000, -3.133], [2.194, -3.252, 4.968]],
  "species": ["Tl", "Tl", "Tl", "Tl", "Tl", "Tl", "Ni", "Ni"],
  "frac_coords": [[0.000, 0.164, 0.755], [0.000, 0.542, 0.500], [0.000, 0.164, 0.245], [0.500, 0.836, 0.745], [0.500, 0.836, 0.255], [0.500, 0.458, 0.000], [0.500, 0.314, 0.500], [0.000, 0.686, 0.000]],
  "density_g_cm3": 11.06,
  "formation_enthalpy_0k_ev_per_atom": 0.228,
  "spacegroup": "Pmmn, No. 59",
  "total_magnetization_mub_per_cell": 0.0,
  "energy_ev_per_cell": -23.9
}

---

{
  "formula": "PrZnPb",
  "functional": "PBE-GGA",
  "state": "optimized geometry",
  "lattice_angstrom": [[-2.608, 3.924, -0.059], [-0.686, 2.284, -5.822], [-6.160, -1.263, 0.209]],
  "species": ["Zn", "Zn", "Pr", "Pr", "Pb", "Pb"],
  "frac_coords": [[0.478, 0.219, 0.929], [0.478, 0.929, 0.219], [0.232, 0.819, 0.819], [0.728, 0.325, 0.325], [0.981, 0.755, 0.388], [0.981, 0.388, 0.755]],
  "density_g_cm3": 8.67,
  "formation_enthalpy_0k_ev_per_atom": -0.385,
  "spacegroup": "Cm, No. 8",
  "total_magnetization_mub_per_cell": 0.0,
  "energy_ev_per_cell": -21.8
}

---

{
  "formula": "YTa4",
  "functional": "PBE-GGA",
  "state": "optimized geometry",
  "lattice_angstrom": [[2.423, -6.631, 0.853], [-2.698, -5.623, 3.417], [-1.239, 5.312, -4.563]],
  "species": ["Ta", "Ta", "Ta", "Ta", "Y"],
  "frac_coords": [[0.396, 0.396, 0.000], [0.604, 0.604, 0.000], [0.250, 0.750, 0.500], [0.750, 0.250, 0.500], [0.000, 0.000, 0.000]],
  "density_g_cm3": 12.30,
  "e_above_lowest_polymorph_ev_per_fu": 0.72,
  "formation_enthalpy_0k_ev_per_atom": 0.493,
  "spacegroup": "I4/mmm, No. 139",
  "total_magnetization_mub_per_cell": 0.0,
  "energy_ev_per_cell": -51.4
}

---

{
  "formula": "Cu2BrCl",
  "functional": "PBE-GGA",
  "state": "optimized geometry",
  "lattice_angstrom": [[-0.874, -1.318, 5.323], [3.813, -4.020, -0.369], [5.426, 0.942, 4.021]],
  "species": ["Br", "Br", "Cl", "Cl", "Cu", "Cu", "Cu", "Cu"],
  "frac_coords": [[0.750, 0.250, 0.500], [0.000, 0.000, 0.000], [0.250, 0.750, 0.500], [0.500, 0.500, 0.000], [0.875, 0.855, 0.750], [0.145, 0.625, 0.250], [0.375, 0.395, 0.750], [0.605, 0.125, 0.250]],
  "density_g_cm3": 4.68,
  "e_form_raw_ev_per_atom": -0.3048,
  "e_above_lowest_polymorph_ev_per_fu": 0.00,
  "spacegroup": "I-42d, No. 122",
  "total_magnetization_mub_per_cell": 0.0,
  "energy_ev_per_cell": -25.9
}

---

{
  "formula": "KCuW2",
  "functional": "PBE-GGA",
  "state": "optimized geometry",
  "lattice_angstrom": [[5.988, -0.005, -0.001], [2.429, 5.474, 0.001], [-3.180, -4.318, 2.665]],
  "species": ["K", "W", "W", "Cu"],
  "frac_coords": [[0.254, 0.754, 0.500], [0.948, 0.948, 0.000], [0.759, 0.259, 0.500], [0.539, 0.539, 0.000]],
  "density_g_cm3": 8.93,
  "e_above_lowest_polymorph_ev_per_fu": 2.68,
  "formation_enthalpy_0k_ev_per_atom": 1.421,
  "spacegroup": "Imm2, No. 44",
  "total_magnetization_mub_per_cell": 0.0,
  "energy_ev_per_cell": -25.4
}

---

{
  "formula": "Ce2SiPd6",
  "functional": "PBE-GGA",
  "state": "optimized geometry",
  "lattice_angstrom": [[-3.371, 1.085, -4.473], [-0.903, -4.602, 3.203], [-4.362, 1.939, 3.758]],
  "species": ["Pd", "Pd", "Pd", "Pd", "Pd", "Pd", "Si", "Ce", "Ce"],
  "frac_coords": [[0.874, 0.748, 0.704], [0.875, 0.261, 0.692], [0.386, 0.261, 0.692], [0.614, 0.739, 0.308], [0.126, 0.252, 0.296], [0.125, 0.739, 0.308], [0.000, 0.000, 0.000], [0.640, 0.280, 0.170], [0.360, 0.720, 0.830]],
  "density_g_cm3": 9.51,
  "e_form_raw_ev_per_atom": -0.7761,
  "e_above_lowest_polymorph_ev_per_fu": 0.14,
  "spacegroup": "C2/m, No. 12",
  "total_magnetization_mub_per_cell": 1.3,
  "energy_ev_per_cell": -55.4
}

---

{
  "formula": "EuErBi2",
  "functional": "PBE-GGA",
  "state": "optimized geometry",
  "lattice_angstrom": [[3.817, 0.000, 0.000], [0.000, 3.817, 0.000], [0.000, 0.000, 8.490]],
  "species": ["Bi", "Bi", "Er", "Eu"],
  "frac_coords": [[0.000, 0.000, 0.233], [0.000, 0.000, 0.767], [0.500, 0.500, 0.000], [0.500, 0.500, 0.500]],
  "density_g_cm3": 9.90,
  "e_above_lowest_polymorph_ev_per_fu": 0.45,
  "formation_enthalpy_0k_ev_per_atom": -0.661,
  "spacegroup": "P4/mmm, No. 123",
  "total_magnetization_mub_per_cell": 7.1,
  "energy_ev_per_cell": -25.2
}

---

{
  "formula": "Ce2HoBi3",
  "functional": "PBE-GGA",
  "state": "optimized geometry",
  "lattice_angstrom": [[4.557, 0.000, 0.000], [0.000, 6.451, 0.000], [-2.278, -3.225, 6.827]],
  "species": ["Bi", "Bi", "Bi", "Ce", "Ce", "Ho"],
  "frac_coords": [[0.837, 0.337, 0.175], [0.500, 0.000, 0.500], [0.163, 0.663, 0.825], [0.832, 0.832, 0.164], [0.168, 0.168, 0.836], [0.500, 0.500, 0.500]],
  "density_g_cm3": 8.87,
  "formation_enthalpy_0k_ev_per_atom": -0.802,
  "spacegroup": "Immm, No. 71",
  "total_magnetization_mub_per_cell": 1.8,
  "energy_ev_per_cell": -32.9
}

---

{
  "formula": "La2YPa2Rh5",
  "functional": "PBE-GGA",
  "state": "optimized geometry",
  "lattice_angstrom": [[-0.720, -3.515, 0.439], [10.861, -2.257, -0.248], [0.515, 1.269, 11.011]],
  "species": ["La", "La", "La", "La", "Pa", "Pa", "Pa", "Pa", "Rh", "Rh", "Rh", "Rh", "Rh", "Rh", "Rh", "Rh", "Rh", "Rh", "Y", "Y"],
  "frac_coords": [[0.000, 0.673, 0.173], [0.000, 0.327, 0.827], [0.000, 0.827, 0.673], [0.000, 0.173, 0.327], [0.000, 0.362, 0.138], [0.000, 0.638, 0.862], [0.000, 0.138, 0.638], [0.000, 0.862, 0.362], [0.500, 0.448, 0.294], [0.500, 0.000, 0.500], [0.500, 0.500, 0.000], [0.500, 0.206, 0.052], [0.500, 0.052, 0.794], [0.500, 0.706, 0.448], [0.500, 0.294, 0.552], [0.500, 0.794, 0.948], [0.500, 0.552, 0.706], [0.500, 0.948, 0.206], [0.000, 0.000, 0.000], [0.000, 0.500, 0.500]],
  "density_g_cm3": 10.03,
  "formation_enthalpy_0k_ev_per_atom": -0.652,
  "spacegroup": "P4/mbm, No. 127",
  "total_magnetization_mub_per_cell": 0.0,
  "energy_ev_per_cell": -157.2
}

---

{
  "formula": "Ca2PrHo",
  "functional": "PBE-GGA",
  "state": "optimized geometry",
  "lattice_angstrom": [[-1.823, -2.998, -1.177], [1.519, -2.204, -2.556], [5.172, -8.442, 7.674]],
  "species": ["Pr", "Ca", "Ca", "Ho"],
  "frac_coords": [[0.667, 0.667, 0.000], [0.085, 0.085, 0.744], [0.248, 0.248, 0.256], [0.500, 0.500, 0.499]],
  "density_g_cm3": 4.38,
  "e_above_lowest_polymorph_ev_per_fu": 0.00,
  "formation_enthalpy_0k_ev_per_atom": 0.107,
  "spacegroup": "R3m, No. 160",
  "total_magnetization_mub_per_cell": 0.7,
  "energy_ev_per_cell": -12.9
}

---

{
  "formula": "LiTa2Pt",
  "functional": "PBE-GGA",
  "state": "optimized geometry",
  "lattice_angstrom": [[-2.147, -4.245, 0.770], [-2.153, -3.794, -2.047], [3.980, -3.168, -0.517]],
  "species": ["Pt", "Ta", "Ta", "Li"],
  "frac_coords": [[0.252, 0.252, 0.260], [0.743, 0.743, 0.740], [0.997, 0.997, 0.007], [0.508, 0.508, 0.492]],
  "density_g_cm3": 14.21,
  "formation_enthalpy_0k_ev_per_atom": -0.107,
  "spacegroup": "Cm, No. 8",
  "total_magnetization_mub_per_cell": 0.0,
  "energy_ev_per_cell": -32.1
}